## Rb2MoNF6 (PBE+U)

Data for a relaxed Rb2MoNF6 crystal.

a b c (Å): 6.6305 6.6305 6.5815
angles (deg): 59.75 59.75 90.00
With the nearest neighbours (Å) after each atom.
Positions (direct):
Rb 0.7500 0.2500 0.5000  12 F 3.31-3.33
F 0.2142 0.2142 0.0000  1 Mo 2.01
F 0.2142 0.7858 0.0000  1 Mo 2.01
N 0.5000 0.5000 0.0000  6 F 2.64-2.68
Mo 0.0000 0.0000 0.0000  6 F 1.98-2.01
Rb 0.2500 0.7500 0.5000  12 F 3.31-3.33
F 0.2139 0.2139 0.5723  1 Mo 1.98
F 0.7861 0.7861 0.4277  1 Mo 1.98
F 0.7858 0.7858 0.0000  1 Mo 2.01
F 0.7858 0.2142 0.0000  1 Mo 2.01

Output
* space group: I4/mmm
* density: 3.2 g/cm³
* uncorrected energy: -4.7106 eV per atom
* Fermi-level density of states: 31.00 states/eV per cell